(1)
## PmHfCuRh (GGA-PBE)

Data for a relaxed structure of PmHfCuRh.

a b c (Å): 6.802 6.802 6.802
angles (deg): 90.00 90.00 90.00
Positions (direct):
Pm 0.000 0.000 0.000
Pm 0.000 0.500 0.500
Pm 0.500 0.000 0.500
Pm 0.500 0.500 0.000
Hf 0.000 0.000 0.500
Hf 0.000 0.500 0.000
Hf 0.500 0.000 0.000
Hf 0.500 0.500 0.500
Cu 0.250 0.250 0.250
Cu 0.250 0.750 0.750
Cu 0.750 0.250 0.750
Cu 0.750 0.750 0.250
Rh 0.250 0.250 0.750
Rh 0.250 0.750 0.250
Rh 0.750 0.250 0.250
Rh 0.750 0.750 0.750

## Properties
Calculated density, g cm⁻³: 10.34
Raw total energy, eV per atom: -6.887
DOS(E_F), states/eV/cell: 11.72
ΔH_f (0 K), eV per atom: -0.349
Crystal system: cubic

(2)
## Pm2HfCuS5 (GGA-PBE)

Data for a relaxed structure of Pm2HfCuS5.

a b c (Å): 8.458 8.458 11.597
angles (deg): 90.00 90.00 154.12
Positions (direct):
Pm 0.115 0.885 0.500
Pm 0.125 0.875 0.128
Pm 0.875 0.125 0.628
Pm 0.885 0.115 0.000
Hf 0.188 0.812 0.824
Hf 0.812 0.188 0.324
Cu 0.438 0.562 0.245
Cu 0.562 0.438 0.745
S 0.041 0.959 0.851
S 0.293 0.707 0.477
S 0.306 0.694 0.168
S 0.348 0.652 0.817
S 0.495 0.505 0.574
S 0.505 0.495 0.074
S 0.652 0.348 0.317
S 0.694 0.306 0.668
S 0.707 0.293 0.977
S 0.959 0.041 0.351

## Properties
Calculated density, g cm⁻³: 6.35
Raw total energy, eV per atom: -6.527
Formation energy without anion corrections, eV/atom: -1.62
DOS(E_F), states/eV/cell: 1.02
Crystal system: orthorhombic

(3)
## Pm2HfCuSe5 (GGA-PBE)

Data for a relaxed structure of Pm2HfCuSe5.

a b c (Å): 8.966 8.966 11.993
angles (deg): 90.00 90.00 154.51
Positions (direct):
Pm 0.114 0.886 0.500
Pm 0.126 0.874 0.120
Pm 0.874 0.126 0.620
Pm 0.886 0.114 0.000
Hf 0.189 0.811 0.821
Hf 0.811 0.189 0.321
Cu 0.431 0.569 0.250
Cu 0.569 0.431 0.750
Se 0.044 0.956 0.859
Se 0.289 0.711 0.476
Se 0.304 0.696 0.162
Se 0.349 0.651 0.813
Se 0.497 0.503 0.580
Se 0.503 0.497 0.080
Se 0.651 0.349 0.313
Se 0.696 0.304 0.662
Se 0.711 0.289 0.976
Se 0.956 0.044 0.359

## Properties
Calculated density, g cm⁻³: 7.42
Raw total energy, eV per atom: -5.969
Formation energy without anion corrections, eV/atom: -1.42
DOS(E_F), states/eV/cell: 2.16
Crystal system: orthorhombic

(4)
## PmHfCuSi (GGA-PBE)

Data for a relaxed structure of PmHfCuSi.

a b c (Å): 6.813 6.813 6.813
angles (deg): 90.00 90.00 90.00
Positions (direct):
Pm 0.000 0.000 0.000
Pm 0.000 0.500 0.500
Pm 0.500 0.000 0.500
Pm 0.500 0.500 0.000
Hf 0.000 0.000 0.500
Hf 0.000 0.500 0.000
Hf 0.500 0.000 0.000
Hf 0.500 0.500 0.500
Cu 0.250 0.250 0.750
Cu 0.250 0.750 0.250
Cu 0.750 0.250 0.250
Cu 0.750 0.750 0.750
Si 0.250 0.250 0.250
Si 0.250 0.750 0.750
Si 0.750 0.250 0.750
Si 0.750 0.750 0.250

## Properties
Calculated density, g cm⁻³: 8.72
Raw total energy, eV per atom: -6.276
Formation energy without anion corrections, eV/atom: -0.22
DOS(E_F), states/eV/cell: 11.92
Crystal system: cubic

(5)
## PmHfZnCu (GGA-PBE)

Data for a relaxed structure of PmHfZnCu.

a b c (Å): 6.887 6.887 6.887
angles (deg): 90.00 90.00 90.00
Positions (direct):
Pm 0.000 0.000 0.000
Pm 0.000 0.500 0.500
Pm 0.500 0.000 0.500
Pm 0.500 0.500 0.000
Hf 0.000 0.000 0.500
Hf 0.000 0.500 0.000
Hf 0.500 0.000 0.000
Hf 0.500 0.500 0.500
Zn 0.250 0.250 0.250
Zn 0.250 0.750 0.750
Zn 0.750 0.250 0.750
Zn 0.750 0.750 0.250
Cu 0.250 0.250 0.750
Cu 0.250 0.750 0.250
Cu 0.750 0.250 0.250
Cu 0.750 0.750 0.750

## Properties
Calculated density, g cm⁻³: 9.20
Raw total energy, eV per atom: -5.074
DOS(E_F), states/eV/cell: 14.56
ΔH_f (0 K), eV per atom: -0.055
Crystal system: cubic

(6)
## PrHfCu (GGA-PBE)

Data for a relaxed structure of PrHfCu.

a b c (Å): 3.568 3.568 13.196
angles (deg): 90.00 90.00 120.00
Positions (direct):
Pr 0.000 0.000 0.169
Pr 0.000 0.000 0.831
Hf 0.667 0.333 0.371
Hf 0.667 0.333 0.629
Cu 0.000 0.000 0.500
Cu 0.667 0.333 0.000

## Properties
Calculated density, g cm⁻³: 8.74
Raw total energy, eV per atom: -6.055
Distance to the lowest polymorph of the same formula, eV per atom: 0.204
DOS(E_F), states/eV/cell: 3.53
ΔH_f (0 K), eV per atom: 0.222
Crystal system: hexagonal

(7)
## PrHfCu (GGA-PBE)

Data for a relaxed structure of PrHfCu.

a b c (Å): 3.396 3.396 11.957
angles (deg): 90.00 90.00 90.00
Positions (direct):
Pr 0.000 0.000 0.000
Pr 0.500 0.500 0.500
Hf 0.000 0.000 0.297
Hf 0.500 0.500 0.797
Cu 0.000 0.000 0.687
Cu 0.500 0.500 0.187

## Properties
Calculated density, g cm⁻³: 9.22
Raw total energy, eV per atom: -6.259
Distance to the lowest polymorph of the same formula, eV per atom: 0.000
DOS(E_F), states/eV/cell: 8.36
ΔH_f (0 K), eV per atom: 0.018
Crystal system: tetragonal

(8)
## PrHfCu2 (GGA-PBE)

Data for a relaxed structure of PrHfCu2.

a b c (Å): 4.887 4.887 3.331
angles (deg): 90.00 90.00 90.00
Positions (direct):
Pr 0.000 0.000 0.000
Hf 0.500 0.500 0.000
Cu 0.000 0.500 0.500
Cu 0.500 0.000 0.500

## Properties
Calculated density, g cm⁻³: 9.32
Raw total energy, eV per atom: -5.708
Distance to the lowest polymorph of the same formula, eV per atom: 0.118
DOS(E_F), states/eV/cell: 4.53
ΔH_f (0 K), eV per atom: 0.023
Crystal system: tetragonal